1.
A plane-wave DFT calculation with PBE-GGA was carried out for a relaxed structure of CsPuCuI5.

Properties
* spin magnetization: 10.0 μB/cell
* N(E_F): 1.7543 states/eV per atom
* E_form (uncorrected): -943 meV per atom

Cell: 8.5977 8.5977 11.6226 Å, 104.47 104.47 105.32°
Last column: nearest neighbours and their distance in Å.
Atoms (fractional coordinates):
Cs1 0.1470 0.8530 0.7500  5 I 3.79-3.86
Cs2 0.8530 0.1470 0.2500  5 I 3.79-3.86
Pu1 0.5000 0.5000 0.0000  6 I 3.08-3.13
Pu2 0.5000 0.5000 0.5000  6 I 3.08-3.13
Cu1 0.1925 0.8075 0.2500  4 I 2.63-2.67
Cu2 0.8075 0.1925 0.7500  4 I 2.63-2.67
I1 0.1150 0.2762 0.9226  1 Cu 2.67
I2 0.1893 0.6033 0.3852  1 Cu 2.63
I3 0.2762 0.1150 0.4226  1 Cu 2.67
I4 0.3967 0.8107 0.1148  1 Cu 2.63
I5 0.4244 0.5756 0.7500  2 Pu 3.08
I6 0.5756 0.4244 0.2500  2 Pu 3.08
I7 0.6033 0.1893 0.8852  1 Cu 2.63
I8 0.7238 0.8850 0.5774  1 Cu 2.67
I9 0.8107 0.3967 0.6148  1 Cu 2.63
I10 0.8850 0.7238 0.0774  1 Cu 2.67

=====

2.
A plane-wave DFT calculation with PBE-GGA was carried out for a relaxed structure of Cs2PuCuI6.

Properties
* spin magnetization: 5.0 μB/cell
* N(E_F): 1.1338 states/eV per atom
* E_form (uncorrected): -1065 meV per atom

Cell: 8.4813 8.4813 7.0998 Å, 90.00 90.00 120.00°
Last column: nearest neighbours and their distance in Å.
Atoms (fractional coordinates):
Cs1 0.3333 0.6667 0.2563  12 I 4.24-4.39
Cs2 0.6667 0.3333 0.7437  12 I 4.24-4.39
Pu1 0.0000 0.0000 0.5000  6 I 3.08
Cu1 0.0000 0.0000 0.0000  6 I 2.94
I1 0.1653 0.3306 0.7667  1 Cu 2.94, 1 Pu 3.08
I2 0.1653 0.8347 0.7667  1 Cu 2.94, 1 Pu 3.08
I3 0.3306 0.1653 0.2333  1 Cu 2.94, 1 Pu 3.08
I4 0.6694 0.8347 0.7667  1 Cu 2.94, 1 Pu 3.08
I5 0.8347 0.1653 0.2333  1 Cu 2.94, 1 Pu 3.08
I6 0.8347 0.6694 0.2333  1 Cu 2.94, 1 Pu 3.08

=====

3.
A plane-wave DFT calculation with PBE-GGA was carried out for a relaxed structure of CsRb2Cu2I6.

Properties
* spin magnetization: 0.0 μB/cell
* N(E_F): 0.4161 states/eV per atom
* E_form (uncorrected): -862 meV per atom

Cell: 7.5950 7.5950 11.2154 Å, 107.61 107.61 64.09°
Last column: nearest neighbours and their distance in Å.
Atoms (fractional coordinates):
Cs1 0.0000 0.0000 0.0000  6 I 3.90-3.98
Rb1 0.1862 0.1862 0.6508  7 I 3.75-3.91, 1 Cu 4.14
Rb2 0.8138 0.8138 0.3492  7 I 3.75-3.91, 1 Cu 4.14
Cu1 0.4693 0.4693 0.2124  3 I 2.48-2.53
Cu2 0.5307 0.5307 0.7876  3 I 2.48-2.53
I1 0.1760 0.6931 0.6720  1 Cu 2.53
I2 0.3056 0.3056 0.0104  1 Cu 2.48
I3 0.3070 0.8240 0.3280  1 Cu 2.53
I4 0.6931 0.1760 0.6720  1 Cu 2.53
I5 0.6944 0.6944 0.9896  1 Cu 2.48
I6 0.8240 0.3070 0.3280  1 Cu 2.53

=====

4.
A plane-wave DFT calculation with PBE-GGA was carried out for a relaxed structure of Cs3RbCu2I6.

Properties
* spin magnetization: 0.0 μB/cell
* N(E_F): 0.0000 states/eV per atom
* E_form (uncorrected): -1008 meV per atom

Cell: 9.0434 9.0434 10.1811 Å, 90.00 90.00 120.00°
Last column: nearest neighbours and their distance in Å.
Atoms (fractional coordinates):
Cs1 0.0000 0.0000 0.0000  6 I 3.89
Cs2 0.3333 0.6667 0.6346  1 Cu 3.77
Cs3 0.6667 0.3333 0.3654  1 Cu 3.77
Rb1 0.0000 0.0000 0.5000  6 I 3.54
Cu1 0.3333 0.6667 0.2644  3 I 2.52
Cu2 0.6667 0.3333 0.7356  3 I 2.52
I1 0.1725 0.3451 0.2753  1 Cu 2.52
I2 0.1725 0.8275 0.2753  1 Cu 2.52
I3 0.3451 0.1725 0.7247  1 Cu 2.52
I4 0.6549 0.8275 0.2753  1 Cu 2.52
I5 0.8275 0.1725 0.7247  1 Cu 2.52
I6 0.8275 0.6549 0.7247  1 Cu 2.52